(1)
Sr2YCo | PBE | optimized geometry

abc: 6.5384 6.5384 6.5384
angles: 137.90 137.90 61.05
With the nearest neighbours (Å) after each atom.
Sites, in units of the cell vectors:
Y: 0.2500 0.7500 0.5000  4 Co 3.32, 8 Sr 3.67
Sr: 0.5000 0.5000 0.0000  4 Sr 3.32, 4 Co 3.67, 4 Y 3.67
Sr: 0.0000 0.0000 0.0000  4 Sr 3.32, 4 Co 3.67, 4 Y 3.67
Co: 0.7500 0.2500 0.5000  4 Y 3.32, 8 Sr 3.67

Values from the calculation:
ΔE_f	621	meV per atom
polymorph energy (0 for the lowest one)	47.8	kJ per mole of atoms
V	124	Å³/f.u.
crystal system	tetragonal
M_tot	0.299	μB per formula unit



(2)
TaBeOs2 | PBE | optimized geometry

abc: 3.1598 4.2298 4.2298
angles: 90.00 90.00 90.00
With the nearest neighbours (Å) after each atom.
Sites, in units of the cell vectors:
Os: 0.0000 0.0000 0.0000  4 Ta 2.64, 4 Be 2.64
Os: 0.0000 0.5000 0.5000  4 Be 2.64, 4 Ta 2.64
Ta: 0.5000 0.5000 0.0000  8 Os 2.64
Be: 0.5000 0.0000 0.5000  8 Os 2.64

Values from the calculation:
ΔE_f	-153	meV per atom
V	57	Å³/f.u.
crystal system	tetragonal
M_tot	0.000	μB per formula unit